# 1
First-principles (PBE) data for crystalline ZrPdPb2 at its relaxed geometry, as listed in the Alexandria database.

Values from the calculation:
SG: Fm-3m
DFT formation energy: 10 meV per atom
Offset from the most stable computed form: 186.5 meV per atom
Calculated total energy: -5.28 eV/atom
Spin magnetization: 0.60 Bohr magnetons per cell

Cell lengths 5.0426, 5.0426, 5.0426 Å; angles 60.00, 60.00, 60.00 degrees
Last column: nearest neighbours and their distance in Å.
Fractional coordinates of all 4 atoms:
Zr: 0.0000 0.0000 0.0000  8 Pb 3.09
Pd: 0.5000 0.5000 0.5000  8 Pb 3.09
Pb: 0.2500 0.2500 0.2500  4 Zr 3.09, 4 Pd 3.09
Pb: 0.7500 0.7500 0.7500  4 Zr 3.09, 4 Pd 3.09

***

# 2
First-principles (PBE) data for crystalline Tl2Cu2RhO6 at its relaxed geometry, as listed in the Alexandria database.

Values from the calculation:
SG: R-3m
Calculated total energy: -5.07 eV/atom
Spin magnetization: 0.00 Bohr magnetons per cell
Energy relative to the elements, uncorrected: -0.526 eV/atom

Cell lengths 6.2557, 6.2557, 6.2557 Å; angles 55.56, 55.56, 55.56 degrees
Last column: nearest neighbours and their distance in Å.
Fractional coordinates of all 11 atoms:
Tl: 0.2115 0.2115 0.2115  3 O 2.63, 1 Cu 2.90
Tl: 0.7885 0.7885 0.7885  3 O 2.63, 1 Cu 2.90
Cu: 0.3948 0.3948 0.3948  3 O 1.83
Cu: 0.6052 0.6052 0.6052  3 O 1.83
Rh: 0.0000 0.0000 0.0000  6 O 1.97
O: 0.2300 0.2300 0.7702  1 Cu 1.83, 1 Rh 1.97
O: 0.2300 0.7702 0.2300  1 Cu 1.83, 1 Rh 1.97
O: 0.2298 0.7700 0.7700  1 Cu 1.83, 1 Rh 1.97
O: 0.7702 0.2300 0.2300  1 Cu 1.83, 1 Rh 1.97
O: 0.7700 0.2298 0.7700  1 Cu 1.83, 1 Rh 1.97
O: 0.7700 0.7700 0.2298  1 Cu 1.83, 1 Rh 1.97

***

# 3
First-principles (PBE) data for crystalline CeZnNiAu at its relaxed geometry, as listed in the Alexandria database.

Values from the calculation:
SG: F-43m
DFT formation energy: -320 meV per atom
Calculated total energy: -4.39 eV/atom
Spin magnetization: 0.00 Bohr magnetons per cell

Cell lengths 4.7527, 4.7527, 4.7527 Å; angles 60.00, 60.00, 60.00 degrees
Last column: nearest neighbours and their distance in Å.
Fractional coordinates of all 4 atoms:
Ce: 0.0000 0.0000 0.0000  4 Ni 2.91, 4 Au 2.91
Zn: 0.5000 0.5000 0.5000  4 Ni 2.91, 4 Au 2.91
Ni: 0.2500 0.2500 0.2500  4 Ce 2.91, 4 Zn 2.91
Au: 0.7500 0.7500 0.7500  4 Ce 2.91, 4 Zn 2.91